A plane-wave DFT calculation with PBE-GGA was carried out for crystalline CaHo2Te4 at its relaxed geometry.

Computed properties:
**Energy above the lowest structure with this stoichiometry**: 0.000 eV per atom
**ΔE_f (raw)**: -10.2 eV/f.u.

```
data_CaHo2Te4
_chemical_formula_sum 'Ca1 Ho2 Te4'
_space_group_name_H-M_alt 'P 1'
_space_group_IT_number 1
_cell_length_a 4.392
_cell_length_b 7.510
_cell_length_c 7.746
_cell_angle_alpha 72.27
_cell_angle_beta 90.00
_cell_angle_gamma 90.00
loop_
_space_group_symop_operation_xyz
'x,y,z'
loop_
_atom_site_label
_atom_site_type_symbol
_atom_site_fract_x
_atom_site_fract_y
_atom_site_fract_z
Te1 Te 0.500 0.761 0.244
Te2 Te 0.000 0.745 0.763
Te3 Te 0.500 0.239 0.756
Te4 Te 0.000 0.255 0.237
Ca1 Ca 0.000 0.500 0.500
Ho1 Ho 0.000 0.000 0.000
Ho2 Ho 0.500 0.500 0.000
```